{
  "formula": "NaTi2MoO8",
  "functional": "PBE+U",
  "state": "relaxed",
  "lattice_angstrom": [[4.741, 0.079, -0.003], [0.125, 4.738, -0.005], [0.004, 0.007, 6.283]],
  "species": ["O", "O", "O", "O", "O", "O", "O", "O", "Ti", "Ti", "Mo", "Na"],
  "fractional_positions": [[0.790, 0.210, 0.212], [0.324, 0.323, 0.500], [0.676, 0.677, 0.500], [0.210, 0.790, 0.788], [0.210, 0.790, 0.212], [0.790, 0.210, 0.788], [0.707, 0.708, 0.000], [0.293, 0.292, 0.000], [0.500, 0.500, 0.727], [0.500, 0.500, 0.273], [0.000, 0.000, 0.000], [0.000, 0.000, 0.500]],
  "dft_energy_ev_per_atom": -7.462
}